one:
Below is HfZr3Cd after structural relaxation, with properties calculated at the PBE level.

Computed properties:
- Symmetry: No. 2

a b c (Å): 3.2152 9.6797 10.4865
angles (deg): 125.16 98.84 60.06
Sites, in units of the cell vectors:
Zr 0.7366 0.5596 0.6522
Cd 0.2590 0.6424 0.9449
Zr 0.2773 0.0308 0.1459
Zr 0.2587 0.2426 0.7452
Zr 0.7227 0.9692 0.8541
Zr 0.7413 0.7574 0.2548
Hf 0.7462 0.1536 0.4539
Zr 0.2634 0.4404 0.3478
Hf 0.2538 0.8464 0.5461
Cd 0.7410 0.3576 0.0551

***

two:
Below is HfZr3Cd after structural relaxation, with properties calculated at the PBE level.

Computed properties:
- Symmetry: No. 221

a b c (Å): 5.1785 5.1785 5.1785
angles (deg): 90.00 90.00 90.00
Sites, in units of the cell vectors:
Zr 0.5000 0.0000 0.0000
Cd 0.5000 0.5000 0.5000
Zr 0.0000 0.5000 0.0000
Zr 0.0000 0.0000 0.5000
Hf 0.0000 0.0000 0.0000

***

It turns out one is the most stable, with the second structure 1040 meV/atom higher.

***

one:
Below is HfZr2Cd2 after structural relaxation, with properties calculated at the PBE level.

Computed properties:
- Symmetry: No. 65

a b c (Å): 3.1356 3.1276 11.8189
angles (deg): 82.40 90.00 90.00
Sites, in units of the cell vectors:
Cd 0.0000 0.1953 0.6094
Zr 0.5000 0.4049 0.1902
Zr 0.5000 0.5951 0.8098
Cd 0.0000 0.8047 0.3906
Hf 0.0000 0.0000 0.0000

***

two:
Below is HfZr2Cd2 after structural relaxation, with properties calculated at the PBE level.

Computed properties:
- Symmetry: No. 127

a b c (Å): 8.0882 8.0882 3.4510
angles (deg): 90.00 90.00 90.00
Sites, in units of the cell vectors:
Zr 0.3238 0.1762 0.5000
Zr 0.1762 0.6762 0.5000
Cd 0.8755 0.6245 0.0000
Hf 0.5000 0.5000 0.0000
Cd 0.6245 0.1245 0.0000
Cd 0.3755 0.8755 0.0000
Cd 0.1245 0.3755 0.0000
Zr 0.6762 0.8238 0.5000
Hf 0.0000 0.0000 0.0000
Zr 0.8238 0.3238 0.5000

***

It turns out one is the most stable, with the second structure 182 meV/atom higher.

***

one:
Below is Cd4Hg after structural relaxation, with properties calculated at the PBE level.

Computed properties:
- Symmetry: No. 12

a b c (Å): 6.2653 6.2203 7.8736
angles (deg): 72.50 66.56 59.76
Sites, in units of the cell vectors:
Cd 0.2951 0.6182 0.7916
Cd 0.7049 0.3818 0.2084
Cd 0.2046 0.3841 0.2067
Hg 0.7498 0.0000 0.0000
Cd 0.7954 0.6159 0.7933
Cd 0.8407 0.2217 0.5971
Cd 0.1593 0.7783 0.4029
Cd 0.3405 0.2217 0.5971
Hg 0.2502 0.0000 0.0000
Cd 0.6595 0.7783 0.4029

***

two:
Below is Cd4Hg after structural relaxation, with properties calculated at the PBE level.

Computed properties:
- Symmetry: No. 87

a b c (Å): 4.5014 5.5398 5.5398
angles (deg): 99.50 113.97 66.03
Sites, in units of the cell vectors:
Cd 0.8008 0.7958 0.3973
Hg 0.0000 0.0000 0.0000
Cd 0.5965 0.6027 0.7958
Cd 0.4035 0.3973 0.2042
Cd 0.1992 0.2042 0.6027

***

It turns out two is the most stable, with the second structure 21 meV/atom higher.

***

one:
Below is Cd4Hg after structural relaxation, with properties calculated at the PBE level.

Computed properties:
- Symmetry: No. 221

a b c (Å): 5.4635 5.4635 5.4635
angles (deg): 90.00 90.00 90.00
Sites, in units of the cell vectors:
Cd 0.5000 0.5000 0.0000
Cd 0.0000 0.0000 0.0000
Cd 0.0000 0.5000 0.5000
Hg 0.5000 0.5000 0.5000
Cd 0.5000 0.0000 0.5000

***

two:
Below is Cd4Hg after structural relaxation, with properties calculated at the PBE level.

Computed properties:
- Symmetry: No. 139

a b c (Å): 4.2107 4.2107 7.8114
angles (deg): 74.36 74.36 90.00
Sites, in units of the cell vectors:
Cd 0.4028 0.4028 0.1944
Cd 0.7500 0.2500 0.5000
Hg 0.0000 0.0000 0.0000
Cd 0.5972 0.5972 0.8056
Cd 0.2500 0.7500 0.5000

***

three:
Below is Cd4Hg after structural relaxation, with properties calculated at the PBE level.

Computed properties:
- Symmetry: No. 1

a b c (Å): 6.4984 5.2719 10.1933
angles (deg): 108.65 89.77 128.23
Sites, in units of the cell vectors:
Cd 0.1564 0.5673 0.0186
Cd 0.9961 0.2408 0.6955
Hg 0.4845 0.2307 0.6801
Cd 0.5696 0.9047 0.8526
Cd 0.4039 0.5638 0.5054
Cd 0.6557 0.5623 0.0053
Cd 0.8340 0.8983 0.3519
Cd 0.7493 0.2413 0.1944
Hg 0.2441 0.2313 0.1786
Cd 0.9064 0.5596 0.5176

***

four:
Below is Cd4Hg after structural relaxation, with properties calculated at the PBE level.

Computed properties:
- Symmetry: No. 217

a b c (Å): 8.7428 8.7428 8.7428
angles (deg): 109.47 109.47 109.47
Sites, in units of the cell vectors:
Cd 0.5000 0.2500 0.7500
Cd 0.6556 0.6556 0.0000
Cd 0.6556 0.0000 0.6556
Cd 0.7500 0.2500 0.5000
Cd 0.6738 0.6738 0.6738
Hg 0.0000 0.0000 0.6576
Hg 0.6576 0.0000 0.0000
Cd 0.3262 0.0000 0.0000
Cd 0.3444 0.3444 0.0000
Cd 0.0000 0.3444 0.3444
Cd 0.7500 0.5000 0.2500
Cd 0.2500 0.7500 0.5000
Hg 0.0000 0.6576 0.0000
Cd 0.0000 0.0000 0.3262
Cd 0.0000 0.3262 0.0000
Cd 0.5000 0.7500 0.2500
Cd 0.3444 0.0000 0.3444
Hg 0.3424 0.3424 0.3424
Cd 0.0000 0.6556 0.6556
Cd 0.2500 0.5000 0.7500

***

It turns out three is the most stable, with the second structure 25 meV/atom higher.

***

one:
Below is CdHg6 after structural relaxation, with properties calculated at the PBE level.

Computed properties:
- Symmetry: No. 229

a b c (Å): 7.3484 7.3484 7.3484
angles (deg): 109.47 109.47 109.47
Sites, in units of the cell vectors:
Hg 0.2500 0.5000 0.7500
Cd 0.0000 0.0000 0.0000
Hg 0.5000 0.7500 0.2500
Hg 0.7500 0.5000 0.2500
Hg 0.5000 0.2500 0.7500
Hg 0.7500 0.2500 0.5000
Hg 0.2500 0.7500 0.5000

***

two:
Below is CdHg6 after structural relaxation, with properties calculated at the PBE level.

Computed properties:
- Symmetry: No. 125

a b c (Å): 6.1042 6.1042 11.0005
angles (deg): 90.00 90.00 90.00
Sites, in units of the cell vectors:
Hg 0.3158 0.1842 0.6386
Hg 0.1842 0.3158 0.3614
Cd 0.0000 0.5000 0.0000
Cd 0.5000 0.0000 0.0000
Hg 0.0000 0.0000 0.8612
Hg 0.8158 0.6842 0.3614
Hg 0.3158 0.8158 0.3614
Hg 0.5000 0.5000 0.1388
Hg 0.5000 0.5000 0.8612
Hg 0.6842 0.8158 0.6386
Hg 0.8158 0.3158 0.6386
Hg 0.6842 0.1842 0.3614
Hg 0.1842 0.6842 0.6386
Hg 0.0000 0.0000 0.1388

***

three:
Below is CdHg6 after structural relaxation, with properties calculated at the PBE level.

Computed properties:
- Symmetry: No. 123

a b c (Å): 4.5153 4.5153 9.6822
angles (deg): 90.00 90.00 90.00
Sites, in units of the cell vectors:
Hg 0.0000 0.5000 0.7331
Hg 0.0000 0.0000 0.5000
Cd 0.0000 0.0000 0.0000
Hg 0.5000 0.0000 0.7331
Hg 0.5000 0.5000 0.0000
Hg 0.5000 0.0000 0.2669
Hg 0.0000 0.5000 0.2669

***

It turns out three is the most stable, with the second structure 22 meV/atom higher.

***

one:
Below is Cd5Hg2 after structural relaxation, with properties calculated at the PBE level.

Computed properties:
- Symmetry: No. 12

a b c (Å): 3.9815 5.2438 8.5458
angles (deg): 85.86 90.00 112.31
Sites, in units of the cell vectors:
Hg 0.0718 0.1437 0.2129
Cd 0.7865 0.5729 0.3604
Cd 0.3580 0.7160 0.0732
Cd 0.6420 0.2840 0.9268
Hg 0.9282 0.8563 0.7871
Cd 0.5000 0.0000 0.5000
Cd 0.2135 0.4271 0.6396

***

two:
Below is Cd5Hg2 after structural relaxation, with properties calculated at the PBE level.

Computed properties:
- Symmetry: No. 15

a b c (Å): 5.5604 8.2605 7.7136
angles (deg): 84.80 111.13 90.00
Sites, in units of the cell vectors:
Hg 0.1758 0.3952 0.8530
Cd 0.5380 0.1841 0.5730
Cd 0.2505 0.7500 0.0000
Cd 0.0350 0.6841 0.5730
Hg 0.3228 0.1048 0.1470
Cd 0.9650 0.3159 0.4270
Cd 0.3938 0.4654 0.2853
Cd 0.7495 0.2500 0.0000
Hg 0.8242 0.6048 0.1470
Cd 0.4620 0.8159 0.4270
Cd 0.8915 0.9654 0.2853
Hg 0.6772 0.8952 0.8530
Cd 0.6062 0.5346 0.7147
Cd 0.1085 0.0346 0.7147

***

It turns out one is the most stable, with the second structure 11 meV/atom higher.